Record 1
Entry from Alexandria via LeMat-Bulk: Mg14TiMnO16 at its PBEsol-relaxed geometry (meta-GGA SCAN).

Summary:
Density of states at the Fermi level ... 0.0442 states/eV per atom
Space group ... No. 123
Spin magnetization ... 6.98 μB/f.u.
Calculated total energy ... -9.24 eV per atom
Energy relative to the lowest polymorph listed for this composition ... 0.000 eV/atom
Formation energy (no corrections) ... -278 kJ/mol of atoms

a = 4.2206 Å, b = 8.5120 Å, c = 8.5120 Å
α = 90.00°, β = 90.00°, γ = 90.00°
With the nearest neighbours (Å) after each atom.
Fractional coordinates of all 32 atoms:
O: 0.5000 0.7498 0.2502  6 Mg 2.11-2.13
O: 0.5000 0.5000 0.0000  6 Mg 2.10-2.12
Mn: 0.0000 0.0000 0.0000  6 O 2.11-2.19
O: 0.0000 0.0000 0.2573  5 Mg 2.07-2.12, 1 Mn 2.19
O: 0.5000 0.2502 0.7498  6 Mg 2.11-2.13
O: 0.5000 0.2502 0.2502  6 Mg 2.11-2.13
O: 0.5000 0.5000 0.5000  2 Ti 2.11, 4 Mg 2.16
Mg: 0.0000 0.7506 0.2494  6 O 2.11-2.13
O: 0.5000 0.7498 0.7498  6 Mg 2.11-2.13
Mg: 0.0000 0.2494 0.7506  6 O 2.11-2.13
O: 0.0000 0.5000 0.2462  5 Mg 2.10-2.13, 1 Ti 2.16
O: 0.5000 0.0000 0.5000  6 Mg 2.10-2.12
Mg: 0.0000 0.2494 0.2494  6 O 2.11-2.13
O: 0.0000 0.0000 0.7427  5 Mg 2.07-2.12, 1 Mn 2.19
O: 0.0000 0.2462 0.5000  5 Mg 2.10-2.13, 1 Ti 2.16
Mg: 0.5000 0.5000 0.7533  6 O 2.10-2.16
Mg: 0.5000 0.7495 0.0000  6 O 2.11-2.13
O: 0.0000 0.5000 0.7538  5 Mg 2.10-2.13, 1 Ti 2.16
Mg: 0.0000 0.0000 0.5000  6 O 2.07-2.11
Mg: 0.5000 0.0000 0.2505  6 O 2.11-2.13
O: 0.5000 0.0000 0.0000  2 Mn 2.11, 4 Mg 2.13
Mg: 0.5000 0.0000 0.7495  6 O 2.11-2.13
O: 0.0000 0.7538 0.5000  5 Mg 2.10-2.13, 1 Ti 2.16
O: 0.0000 0.7427 0.0000  5 Mg 2.07-2.12, 1 Mn 2.19
Ti: 0.0000 0.5000 0.5000  6 O 2.11-2.16
Mg: 0.0000 0.7506 0.7506  6 O 2.11-2.13
Mg: 0.0000 0.5000 0.0000  6 O 2.07-2.11
Mg: 0.5000 0.2505 0.0000  6 O 2.11-2.13
Mg: 0.5000 0.5000 0.2467  6 O 2.10-2.16
O: 0.0000 0.2573 0.0000  5 Mg 2.07-2.12, 1 Mn 2.19
Mg: 0.5000 0.7533 0.5000  6 O 2.10-2.16
Mg: 0.5000 0.2467 0.5000  6 O 2.10-2.16

***

Record 2
Entry from Alexandria via LeMat-Bulk: InIrW2 at its PBEsol-relaxed geometry (meta-GGA SCAN).

Summary:
Density of states at the Fermi level ... 0.4646 states/eV per atom
Space group ... No. 12
Energy of formation ... 1.0 eV/f.u.
Spin magnetization ... 0.00 μB/f.u.
Calculated total energy ... -60.72 eV per atom

a = 2.9260 Å, b = 4.6584 Å, c = 5.0644 Å
α = 101.87°, β = 106.79°, γ = 90.00°
With the nearest neighbours (Å) after each atom.
Fractional coordinates of all 4 atoms:
W: 0.7597 0.7669 0.5194  6 W 2.66-2.93, 3 Ir 2.77-2.95, 3 In 2.87-2.95
In: 0.0000 0.5000 0.0000  4 Ir 2.75, 6 W 2.87-2.95, 2 In 2.93
Ir: 0.5000 0.0000 0.0000  4 In 2.75, 6 W 2.77-2.95, 2 Ir 2.93
W: 0.2403 0.2331 0.4806  6 W 2.66-2.93, 3 Ir 2.77-2.95, 3 In 2.87-2.95

***

Record 3
Entry from Alexandria via LeMat-Bulk: NiSb2Ru at its PBEsol-relaxed geometry (meta-GGA SCAN).

Summary:
Density of states at the Fermi level ... 0.6522 states/eV per atom
Space group ... No. 12
Spin magnetization ... 0.00 μB/f.u.
Calculated total energy ... -31.22 eV per atom
Energy relative to the lowest polymorph listed for this composition ... 0.000 eV/atom
Formation energy (no corrections) ... 16 kJ/mol of atoms

a = 3.2240 Å, b = 4.3326 Å, c = 5.4072 Å
α = 101.20°, β = 90.00°, γ = 111.84°
With the nearest neighbours (Å) after each atom.
Fractional coordinates of all 4 atoms:
Ni: 0.0000 0.0000 0.5000  6 Sb 2.62-2.72
Sb: 0.7532 0.5065 0.7487  3 Ni 2.62-2.72, 3 Ru 2.67-2.69
Sb: 0.2468 0.4935 0.2513  3 Ni 2.62-2.72, 3 Ru 2.67-2.69
Ru: 0.5000 0.0000 0.0000  6 Sb 2.67-2.69

***

Which of these has the highest density of states at the Fermi level? NiSb2Ru